VASP calculation (SCAN) on Ca2ZrOs at its PBEsol-relaxed geometry.

Calculated values
- DFT formation energy: 564 meV/atom

a b c (Å): 2.9199 5.7007 5.8932
angles (deg): 61.08 84.99 79.59
Last column: nearest neighbours and their distance in Å.
Sites, in units of the cell vectors:
Ca  0.0000  0.0000  0.5000  4 Ca 2.85-2.92, 2 Os 3.17, 2 Zr 3.17
Ca  0.0000  0.5000  0.5000  4 Ca 2.85-2.92, 2 Zr 3.17, 2 Os 3.17
Os  0.5000  0.5000  0.0000  2 Zr 2.85, 2 Os 2.92, 4 Ca 3.17
Zr  0.5000  0.0000  0.0000  2 Os 2.85, 2 Zr 2.92, 4 Ca 3.17